# 1
Entry from Alexandria: a geometry-optimized RbAcIn2Cl6 structure (PBE-GGA).

a = 8.0609 Å, b = 8.0610 Å, c = 8.3406 Å
α = 61.09°, β = 61.09°, γ = 59.99°
Fractional positions:
1 Rb 0.8093 0.8093 0.5721
2 Ac 0.3188 0.3188 0.0435
3 In 0.5225 0.5225 0.4326
4 In 0.0178 0.0179 0.9464
5 Cl 0.5864 0.2056 0.2434
6 Cl 0.2056 0.9645 0.2435
7 Cl 0.9645 0.5864 0.2435
8 Cl 0.4067 0.6850 0.7633
9 Cl 0.6851 0.1448 0.7634
10 Cl 0.1449 0.4067 0.7633

Properties
**Energy**: -38.6 eV/cell
**Raw formation energy**: -163.5 kJ/mol of atoms
**Spin magnetization**: 0.0 μB/cell
**N(E_F)**: 0.00 states/eV per atom

***

# 2
Entry from Alexandria: a geometry-optimized AcInSnCl6 structure (PBE-GGA).

a = 6.9772 Å, b = 6.9772 Å, c = 13.5460 Å
α = 90.00°, β = 90.00°, γ = 90.00°
Fractional positions:
1 Ac 0.5000 0.5000 0.8319
2 Ac 0.0000 0.0000 0.3319
3 In 0.5000 0.5000 0.4990
4 In 0.0000 0.0000 0.9990
5 Sn 0.5000 0.5000 0.1656
6 Sn 0.0000 0.0000 0.6656
7 Cl 0.1803 0.8197 0.5023
8 Cl 0.8197 0.1803 0.5023
9 Cl 0.3197 0.3197 0.0023
10 Cl 0.6803 0.6803 0.0023
11 Cl 0.2079 0.7921 0.1807
12 Cl 0.7921 0.2079 0.1807
13 Cl 0.2921 0.2921 0.6807
14 Cl 0.7079 0.7079 0.6807
15 Cl 0.7926 0.2074 0.8187
16 Cl 0.2074 0.7926 0.8187
17 Cl 0.7074 0.7074 0.3187
18 Cl 0.2926 0.2926 0.3187

Properties
**Energy**: -72.2 eV/cell
**Raw formation energy**: -152.0 kJ/mol of atoms
**Spin magnetization**: 0.0 μB/cell
**N(E_F)**: 0.00 states/eV per atom

***

# 3
Entry from Alexandria: a geometry-optimized AcTl2InCl6 structure (PBE-GGA).

a = 7.7501 Å, b = 8.3761 Å, c = 11.1850 Å
α = 90.00°, β = 86.89°, γ = 90.00°
Fractional positions:
1 Ac 0.5000 0.0000 0.5000
2 Ac 0.0000 0.5000 0.0000
3 Tl 0.0225 0.9345 0.2706
4 Tl 0.5225 0.5655 0.7706
5 Tl 0.9775 0.0655 0.7294
6 Tl 0.4775 0.4345 0.2294
7 In 0.5000 0.0000 0.0000
8 In 0.0000 0.5000 0.5000
9 Cl 0.3136 0.6704 0.0441
10 Cl 0.8136 0.8296 0.5441
11 Cl 0.6864 0.3296 0.9559
12 Cl 0.1864 0.1704 0.4559
13 Cl 0.3287 0.7199 0.4118
14 Cl 0.8287 0.7801 0.9118
15 Cl 0.6713 0.2801 0.5882
16 Cl 0.1713 0.2199 0.0882
17 Cl 0.8582 0.5732 0.2380
18 Cl 0.3582 0.9268 0.7380
19 Cl 0.1418 0.4268 0.7620
20 Cl 0.6418 0.0732 0.2620

Properties
**Energy**: -76.2 eV/cell
**Raw formation energy**: -148.8 kJ/mol of atoms
**Spin magnetization**: 0.0 μB/cell
**N(E_F)**: 0.00 states/eV per atom

***

# 4
Entry from Alexandria: a geometry-optimized Ac2IrCl structure (PBE-GGA).

a = 4.3279 Å, b = 4.3279 Å, c = 8.5053 Å
α = 75.26°, β = 75.26°, γ = 60.00°
Fractional positions:
1 Ac 0.0674 0.0674 0.7978
2 Ac 0.2687 0.2687 0.1940
3 Ir 0.6680 0.6680 0.9961
4 Cl 0.4959 0.4959 0.5122

Properties
**Energy**: -24.0 eV/cell
**Raw formation energy**: -121.6 kJ/mol of atoms
**Spin magnetization**: 0.0 μB/cell
**N(E_F)**: 0.33 states/eV per atom
**Energy above the most stable polymorph in this dataset**: 2.8 kJ/mol of atoms

***

# 5
Entry from Alexandria: a geometry-optimized Ac3IrCl3 structure (PBE-GGA).

a = 4.4217 Å, b = 9.3556 Å, c = 12.7724 Å
α = 93.44°, β = 90.00°, γ = 90.00°
Fractional positions:
1 Ac 0.2500 0.3391 0.6278
2 Ac 0.7500 0.6609 0.3722
3 Ac 0.2500 0.9068 0.6070
4 Ac 0.7500 0.0932 0.3930
5 Ac 0.2500 0.8663 0.1465
6 Ac 0.7500 0.1337 0.8535
7 Ir 0.2500 0.8733 0.3703
8 Ir 0.7500 0.1267 0.6297
9 Cl 0.2500 0.3880 0.3891
10 Cl 0.7500 0.6120 0.6109
11 Cl 0.2500 0.9179 0.8933
12 Cl 0.7500 0.0821 0.1067
13 Cl 0.2500 0.3529 0.8763
14 Cl 0.7500 0.6471 0.1237

Properties
**Energy**: -76.2 eV/cell
**Raw formation energy**: -156.9 kJ/mol of atoms
**Spin magnetization**: 0.0 μB/cell
**N(E_F)**: 0.55 states/eV per atom

***

# 6
Entry from Alexandria: a geometry-optimized Ac2IrCl structure (PBE-GGA).

a = 3.6532 Å, b = 3.6532 Å, c = 8.5007 Å
α = 90.00°, β = 90.00°, γ = 90.00°
Fractional positions:
1 Ac 0.0000 0.0000 0.7846
2 Ac 0.0000 0.0000 0.2154
3 Ir 0.5000 0.5000 0.0000
4 Cl 0.5000 0.5000 0.5000

Properties
**Energy**: -22.9 eV/cell
**Raw formation energy**: -96.2 kJ/mol of atoms
**Spin magnetization**: 0.0 μB/cell
**N(E_F)**: 0.73 states/eV per atom
**Energy above the most stable polymorph in this dataset**: 28.3 kJ/mol of atoms

***

# 7
Entry from Alexandria: a geometry-optimized Ac2IrCl structure (PBE-GGA).

a = 4.3467 Å, b = 4.3467 Å, c = 8.3515 Å
α = 74.87°, β = 74.87°, γ = 59.99°
Fractional positions:
1 Ac 0.7340 0.7340 0.7988
2 Ac 0.2660 0.2660 0.2012
3 Ir 0.0000 0.0000 0.0000
4 Cl 0.5000 0.5000 0.5000

Properties
**Energy**: -24.1 eV/cell
**Raw formation energy**: -124.4 kJ/mol of atoms
**Spin magnetization**: 0.0 μB/cell
**N(E_F)**: 0.30 states/eV per atom
**Energy above the most stable polymorph in this dataset**: 0.0 kJ/mol of atoms

***

# 8
Entry from Alexandria: a geometry-optimized Ac4Ir3Cl structure (PBE-GGA).

a = 4.3401 Å, b = 7.5829 Å, c = 7.5829 Å
α = 71.52°, β = 90.00°, γ = 90.00°
Fractional positions:
1 Ac 0.0000 0.7708 0.7293
2 Ac 0.5000 0.7580 0.2580
3 Ac 0.0000 0.2296 0.2705
4 Ac 0.4999 0.2421 0.7421
5 Ir 0.5000 0.0002 0.4999
6 Ir 0.9999 0.0001 0.0001
7 Ir 0.0000 0.5000 0.5000
8 Cl 0.5000 0.5002 0.9998

Properties
**Energy**: -51.9 eV/cell
**Raw formation energy**: -84.5 kJ/mol of atoms
**Spin magnetization**: 0.0 μB/cell
**N(E_F)**: 0.58 states/eV per atom

***

# 9
Entry from Alexandria: a geometry-optimized Ac5Ir4Cl structure (PBE-GGA).

a = 4.3658 Å, b = 6.0940 Å, c = 11.6118 Å
α = 105.21°, β = 100.84°, γ = 90.00°
Fractional positions:
1 Ac 0.6152 0.1152 0.2303
2 Ac 0.8040 0.3040 0.6081
3 Ac 0.1960 0.6960 0.3919
4 Ac 0.0000 0.5000 0.0000
5 Ac 0.3848 0.8848 0.7697
6 Ir 0.4058 0.4058 0.8115
7 Ir 0.7949 0.7949 0.5899
8 Ir 0.2051 0.2051 0.4101
9 Ir 0.5942 0.5942 0.1885
10 Cl 0.0000 0.0000 0.0000

Properties
**Energy**: -66.0 eV/cell
**Raw formation energy**: -79.3 kJ/mol of atoms
**Spin magnetization**: 0.0 μB/cell
**N(E_F)**: 0.37 states/eV per atom

***

# 10
Entry from Alexandria: a geometry-optimized AcIrCl structure (PBE-GGA).

a = 4.4329 Å, b = 4.8381 Å, c = 7.9796 Å
α = 90.00°, β = 106.13°, γ = 90.00°
Fractional positions:
1 Ir 0.4829 0.7500 0.9657
2 Ir 0.5171 0.2500 0.0343
3 Cl 0.7631 0.7500 0.5262
4 Cl 0.2369 0.2500 0.4738
5 Ac 0.8855 0.2500 0.7709
6 Ac 0.1145 0.7500 0.2291

Properties
**Energy**: -37.4 eV/cell
**Raw formation energy**: -124.4 kJ/mol of atoms
**Spin magnetization**: 0.0 μB/cell
**N(E_F)**: 0.18 states/eV per atom
**Energy above the most stable polymorph in this dataset**: 17.0 kJ/mol of atoms

***

# 11
Entry from Alexandria: a geometry-optimized AcIrCl structure (PBE-GGA).

a = 4.4286 Å, b = 4.4301 Å, c = 11.1443 Å
α = 78.59°, β = 78.54°, γ = 60.01°
Fractional positions:
1 Ac 0.4376 0.4384 0.6865
2 Ac 0.5624 0.5616 0.3135
3 Ir 0.8346 0.8345 0.4964
4 Ir 0.1654 0.1655 0.5036
5 Cl 0.7164 0.7187 0.8484
6 Cl 0.2836 0.2813 0.1516

Properties
**Energy**: -38.4 eV/cell
**Raw formation energy**: -141.4 kJ/mol of atoms
**Spin magnetization**: 0.0 μB/cell
**N(E_F)**: 0.49 states/eV per atom
**Energy above the most stable polymorph in this dataset**: 0.0 kJ/mol of atoms

***

# 12
Entry from Alexandria: a geometry-optimized AcLaIrCl structure (PBE-GGA).

a = 4.2550 Å, b = 4.2547 Å, c = 8.3361 Å
α = 90.05°, β = 104.77°, γ = 120.01°
Fractional positions:
1 Ac 0.5067 0.1507 0.6734
2 La 0.1053 0.9507 0.0711
3 Ir 0.3123 0.5539 0.8817
4 Cl 0.9536 0.3754 0.3434

Properties
**Energy**: -24.9 eV/cell
**Raw formation energy**: -124.4 kJ/mol of atoms
**Spin magnetization**: 0.0 μB/cell
**N(E_F)**: 0.28 states/eV per atom

***

# 13
Entry from Alexandria: a geometry-optimized Ac8Ir3NCl3 structure (PBE-GGA).

a = 8.5680 Å, b = 8.5965 Å, c = 9.2541 Å
α = 117.63°, β = 90.00°, γ = 119.89°
Fractional positions:
1 Ac 0.2647 0.5294 0.2937
2 Ac 0.7353 0.4706 0.7063
3 Ac 0.7714 0.5428 0.3008
4 Ac 0.2286 0.4572 0.6992
5 Ac 0.7755 0.0287 0.3039
6 Ac 0.2245 0.9713 0.6961
7 Ac 0.2533 0.0287 0.3039
8 Ac 0.7467 0.9713 0.6961
9 Ir 0.5000 0.0000 0.5000
10 Ir 0.5000 0.5000 0.5000
11 Ir 0.0000 0.5000 0.5000
12 N 0.0000 0.0000 0.5000
13 Cl 0.0000 0.0000 0.0000
14 Cl 0.0000 0.5000 0.0000
15 Cl 0.5000 0.5000 0.0000

Properties
**Energy**: -89.5 eV/cell
**Raw formation energy**: -104.3 kJ/mol of atoms
**Spin magnetization**: 0.0 μB/cell
**N(E_F)**: 0.55 states/eV per atom

***

# 14
Entry from Alexandria: a geometry-optimized Ac6Ir2NCl2 structure (PBE-GGA).

a = 7.3212 Å, b = 7.3212 Å, c = 7.9437 Å
α = 99.46°, β = 99.46°, γ = 118.49°
Fractional positions:
1 Ac 0.7375 0.7375 0.7132
2 Ac 0.0700 0.3764 0.7024
3 Ac 0.2625 0.2625 0.2868
4 Ac 0.3764 0.0700 0.7024
5 Ac 0.9300 0.6236 0.2976
6 Ac 0.6236 0.9300 0.2976
7 Ir 0.3303 0.6697 0.5000
8 Ir 0.6697 0.3303 0.5000
9 N 0.0000 0.0000 0.5000
10 Cl 0.8214 0.1786 0.0000
11 Cl 0.1786 0.8214 0.0000

Properties
**Energy**: -66.1 eV/cell
**Raw formation energy**: -102.8 kJ/mol of atoms
**Spin magnetization**: 0.0 μB/cell
**N(E_F)**: 0.63 states/eV per atom

***

# 15
Entry from Alexandria: a geometry-optimized AcNdIrCl structure (PBE-GGA).

a = 4.2309 Å, b = 4.2306 Å, c = 8.2670 Å
α = 90.03°, β = 104.80°, γ = 120.00°
Fractional positions:
1 Ac 0.5079 0.1515 0.6750
2 Nd 0.1055 0.9507 0.0717
3 Ir 0.3122 0.5539 0.8816
4 Cl 0.9523 0.3747 0.3413

Properties
**Energy**: -24.4 eV/cell
**Raw formation energy**: -116.9 kJ/mol of atoms
**Spin magnetization**: 0.0 μB/cell
**N(E_F)**: 0.19 states/eV per atom

***

# 16
Entry from Alexandria: a geometry-optimized Ac8NiIr3Cl4 structure (PBE-GGA).

a = 8.6728 Å, b = 9.4101 Å, c = 8.6707 Å
α = 117.51°, β = 120.01°, γ = 90.00°
Fractional positions:
1 Ac 0.2340 0.7009 0.9676
2 Ac 0.2339 0.7008 0.4678
3 Ac 0.2655 0.2973 0.5310
4 Ac 0.7335 0.7009 0.9676
5 Ac 0.2665 0.2991 0.0324
6 Ac 0.7345 0.7027 0.4690
7 Ac 0.7661 0.2992 0.5322
8 Ac 0.7660 0.2991 0.0324
9 Ni 0.0000 0.5000 0.0000
10 Ir 0.5000 0.5000 0.0000
11 Ir 0.5000 0.5000 0.5000
12 Ir 0.0000 0.5000 0.5000
13 Cl 0.5000 0.0000 0.0000
14 Cl 0.5000 0.0000 0.5000
15 Cl 0.0000 0.0000 0.0000
16 Cl 0.0000 0.0000 0.5000

Properties
**Energy**: -91.9 eV/cell
**Raw formation energy**: -116.5 kJ/mol of atoms
**Spin magnetization**: 0.0 μB/cell
**N(E_F)**: 0.40 states/eV per atom

***

# 17
Entry from Alexandria: a geometry-optimized Ac8NiIr3Cl3 structure (PBE-GGA).

a = 8.7119 Å, b = 8.7058 Å, c = 9.2395 Å
α = 118.08°, β = 90.00°, γ = 120.02°
Fractional positions:
1 Ac 0.2640 0.5281 0.2925
2 Ac 0.7360 0.4719 0.7075
3 Ac 0.7638 0.5276 0.2947
4 Ac 0.2362 0.4724 0.7053
5 Ac 0.7637 0.0304 0.2945
6 Ac 0.2363 0.9696 0.7055
7 Ac 0.2667 0.0304 0.2945
8 Ac 0.7333 0.9696 0.7055
9 Ni 0.0000 0.0000 0.5000
10 Ir 0.5000 0.0000 0.5000
11 Ir 0.5000 0.5000 0.5000
12 Ir 0.0000 0.5000 0.5000
13 Cl 0.0000 0.0000 0.0000
14 Cl 0.0000 0.5000 0.0000
15 Cl 0.5000 0.5000 0.0000

Properties
**Energy**: -86.6 eV/cell
**Raw formation energy**: -101.9 kJ/mol of atoms
**Spin magnetization**: 0.0 μB/cell
**N(E_F)**: 0.50 states/eV per atom

***

# 18
Entry from Alexandria: a geometry-optimized Ac4NiIrCl2 structure (PBE-GGA).

a = 4.3147 Å, b = 7.4954 Å, c = 8.3642 Å
α = 107.73°, β = 90.00°, γ = 90.00°
Fractional positions:
1 Ac 0.5000 0.2328 0.1991
2 Ac 0.5000 0.7672 0.8009
3 Ac 0.0000 0.2661 0.7978
4 Ac 0.0000 0.7339 0.2022
5 Ni 0.0000 0.0000 0.0000
6 Ir 0.5000 0.5000 0.0000
7 Cl 0.5000 0.0000 0.5000
8 Cl 0.0000 0.5000 0.5000

Properties
**Energy**: -43.8 eV/cell
**Raw formation energy**: -108.3 kJ/mol of atoms
**Spin magnetization**: 0.0 μB/cell
**N(E_F)**: 0.44 states/eV per atom

***

# 19
Entry from Alexandria: a geometry-optimized Ac6NiIr2Cl3 structure (PBE-GGA).

a = 4.3290 Å, b = 9.3946 Å, c = 10.3731 Å
α = 109.34°, β = 102.04°, γ = 90.00°
Fractional positions:
1 Ac 0.3436 0.8902 0.6872
2 Ac 0.6772 0.5550 0.3544
3 Ac 0.6564 0.1098 0.3128
4 Ac 0.0113 0.2215 0.0225
5 Ac 0.9887 0.7785 0.9775
6 Ac 0.3228 0.4450 0.6456
7 Ni 0.5000 0.0000 0.0000
8 Ir 0.8344 0.6701 0.6689
9 Ir 0.1656 0.3299 0.3311
10 Cl 0.5000 0.5000 0.0000
11 Cl 0.8345 0.1664 0.6691
12 Cl 0.1655 0.8336 0.3309

Properties
**Energy**: -67.8 eV/cell
**Raw formation energy**: -113.8 kJ/mol of atoms
**Spin magnetization**: 0.0 μB/cell
**N(E_F)**: 0.40 states/eV per atom

***

# 20
Entry from Alexandria: a geometry-optimized Ac3IrCl2O6 structure (PBE-GGA).

a = 5.7946 Å, b = 6.9473 Å, c = 7.0209 Å
α = 119.65°, β = 83.72°, γ = 90.00°
Last column: magnetic moment on the atom in μB.
Fractional positions:
1 Ac 0.0000 0.5000 0.0000  0.01
2 Ac 0.5000 0.5000 0.5000  0.03
3 Ac 0.5000 0.0000 0.5000  0.03
4 Ir 0.5000 0.0000 0.0000  1.07
5 Cl 0.1039 0.7226 0.4452  0.00
6 Cl 0.8961 0.2774 0.5548  0.00
7 O 0.6915 0.2862 0.1139  0.10
8 O 0.3085 0.7138 0.8861  0.10
9 O 0.6664 0.8495 0.6989  0.16
10 O 0.3336 0.1505 0.3011  0.16
11 O 0.3085 0.1723 0.8861  0.10
12 O 0.6915 0.8277 0.1139  0.10

Properties
**Energy**: -78.8 eV/cell
**Raw formation energy**: -194.6 kJ/mol of atoms
**Spin magnetization**: 2.0 μB/cell
**N(E_F)**: 0.41 states/eV per atom

***

# 21
Entry from Alexandria: a geometry-optimized Ac6Ir2OsCl3 structure (PBE-GGA).

a = 4.3318 Å, b = 9.3904 Å, c = 10.3567 Å
α = 109.27°, β = 102.07°, γ = 90.00°
Fractional positions:
1 Ac 0.3461 0.8931 0.6922
2 Ac 0.6770 0.5570 0.3539
3 Ac 0.6539 0.1069 0.3078
4 Ac 0.0096 0.2213 0.0191
5 Ac 0.9904 0.7787 0.9809
6 Ac 0.3230 0.4430 0.6461
7 Ir 0.8322 0.6647 0.6644
8 Ir 0.1678 0.3353 0.3356
9 Os 0.5000 0.0000 0.0000
10 Cl 0.5000 0.5000 0.0000
11 Cl 0.8356 0.1678 0.6712
12 Cl 0.1644 0.8322 0.3288

Properties
**Energy**: -72.7 eV/cell
**Raw formation energy**: -109.4 kJ/mol of atoms
**Spin magnetization**: 0.0 μB/cell
**N(E_F)**: 0.40 states/eV per atom

***

# 22
Entry from Alexandria: a geometry-optimized Ac4IrOsCl2 structure (PBE-GGA).

a = 4.3347 Å, b = 7.4983 Å, c = 8.3191 Å
α = 107.51°, β = 90.00°, γ = 90.00°
Fractional positions:
1 Ac 0.5000 0.2375 0.2013
2 Ac 0.5000 0.7625 0.7987
3 Ac 0.0000 0.2694 0.7976
4 Ac 0.0000 0.7306 0.2024
5 Ir 0.0000 0.0000 0.0000
6 Os 0.5000 0.5000 0.0000
7 Cl 0.5000 0.0000 0.5000
8 Cl 0.0000 0.5000 0.5000

Properties
**Energy**: -48.6 eV/cell
**Raw formation energy**: -101.4 kJ/mol of atoms
**Spin magnetization**: 0.0 μB/cell
**N(E_F)**: 0.39 states/eV per atom